Record 1
VASP calculation (GGA-PBEsol) on a geometry-optimized Y2MoBr structure.

For the total magnetization, the calculation gives 0.006 μB per cell. Its energy relative to the lowest polymorph listed for this composition is 0.00 eV per formula unit. The value obtained for the uncorrected formation energy is -136 meV/atom. The energy is -6.96 eV per atom.

The structure belongs to space group Amm2 (No. 38); the cell edges are 4.882, 3.430 and 10.628 Å and the angles 90.00°, 90.00° and 90.00°. Symmetry generates all atoms from Y at (0.000, 0.000, 0.000), Y at (0.500, 0.000, 0.282), Mo at (0.000, 0.000, 0.744) and Br at (0.500, 0.000, 0.556).


Record 2
VASP calculation (GGA-PBEsol) on a geometry-optimized CaAl2Ni structure.

For the total magnetization, the calculation gives 0.001 μB per cell. The formation energy is -380 meV per atom. The energy is -4.50 eV per atom.

The structure belongs to space group R3m (No. 160, hexagonal axes); the cell edges are 4.1629, 4.1629 and 15.7294 Å and the angles 90.00°, 90.00° and 120.00°. Symmetry generates all atoms from Ca at (0.0000, 0.0000, 0.0000), Al at (0.0000, 0.0000, 0.5349), Al at (0.0000, 0.0000, 0.8010) and Ni at (0.0000, 0.0000, 0.1817).


Q: Among the records above, which one has the highest energy?
A: CaAl2Ni


Q: Look up the energy of the second one.
A: -4.50 eV per atom


Q: Among the records above, which one has the highest energy?
A: CaAl2Ni


Q: The lowest energy belongs to which entry?
A: Y2MoBr